VASP calculation (PBE) on a relaxed K2CoHPt crystal.

The energy comes out at -16.21 eV for the cell shown. For the density of states at the Fermi level, the calculation gives 0.992 states/eV per atom. The calculation puts the calculated density at 4.61 g/cm³.

It has space group P4/mmm (No. 123), with a = 5.9093 Å, b = 5.9093 Å, c = 3.4367 Å, α = 90.00°, β = 90.00° and γ = 90.00°. The distinct sites, in fractional coordinates, are K at (0.0000, 0.5000, 0.0000), Co at (0.0000, 0.0000, 0.5000), H at (0.5000, 0.5000, 0.0000) and Pt at (0.5000, 0.5000, 0.5000).